Entry from the Alexandria database: LiCoP3O9 after structural relaxation (PBE+U).

Output
DFT total energy	-6.892	eV/atom

CIF file:
```
data_LiCoP3O9
_chemical_formula_sum 'Li2 Co2 P6 O18'
_symmetry_space_group_name_H-M 'P -1'
_symmetry_Int_Tables_number 2
_cell_length_a 6.542
_cell_length_b 6.884
_cell_length_c 7.356
_cell_angle_alpha 102.96
_cell_angle_beta 92.43
_cell_angle_gamma 91.13
loop_
_symmetry_equiv_pos_as_xyz
'x,y,z'
'-x,-y,-z'
loop_
_atom_site_label
_atom_site_fract_x
_atom_site_fract_y
_atom_site_fract_z
_atom_site_occupancy
Li1 0.147 0.090 0.329 1
Co1 0.148 0.593 0.359 1
P1 0.139 0.724 0.950 1
P2 0.342 0.390 0.715 1
P3 0.345 0.949 0.706 1
O1 0.050 0.313 0.180 1
O2 0.115 0.779 0.158 1
O3 0.169 0.396 0.569 1
O4 0.172 0.874 0.560 1
O5 0.281 0.533 0.910 1
O6 0.281 0.896 0.902 1
O7 0.325 0.185 0.779 1
O8 0.442 0.106 0.334 1
O9 0.446 0.558 0.324 1
```